Entry 1:
Mn8Re3W | PBE-GGA | optimized geometry

Output
**ΔE_f**: -0.12 eV/atom
**ρ**: 13.5 g/cm3
**Total moment**: 0.000 μB per formula unit

a b c (Å): 4.6696 4.6696 7.6887
angles (deg): 90.00 90.00 120.00
Space group P3m1 (No. 156)
Symmetry-distinct sites (fractional):
Mn: 0.0000 0.0000 0.0000 [1 per cell]
Mn: 0.0000 0.0000 0.4997 [1 per cell]
Mn: 0.1732 0.3463 0.2505 [3 per cell]
Mn: 0.3460 0.1730 0.7485 [3 per cell]
Re: 0.3333 0.6667 0.5670 [1 per cell]
Re: 0.3333 0.6667 0.9300 [1 per cell]
Re: 0.6667 0.3333 0.4329 [1 per cell]
W: 0.6667 0.3333 0.0643 [1 per cell]



Entry 2:
TeWCl2 | PBE-GGA | optimized geometry

Output
**Formation energy (no corrections)**: 173 meV per atom
**ρ**: 7.4 g/cm3
**Total moment**: 0.002 μB per formula unit

a b c (Å): 3.1723 3.1723 8.4828
angles (deg): 90.00 90.00 90.00
Space group P4mm (No. 99)
Symmetry-distinct sites (fractional):
Te: 0.0000 0.0000 0.0000 [1 per cell]
W: 0.5000 0.5000 0.2054 [1 per cell]
Cl: 0.0000 0.0000 0.3883 [1 per cell]
Cl: 0.5000 0.5000 0.7314 [1 per cell]



Entry 3:
PmDyBiTe | PBE-GGA | optimized geometry

Output
**Formation energy (no corrections)**: -1128 meV per atom
**ρ**: 8.5 g/cm3
**Total moment**: 0.000 μB per formula unit

a b c (Å): 4.4758 4.4758 6.3130
angles (deg): 90.00 90.00 90.00
Space group P4mm (No. 99)
Symmetry-distinct sites (fractional):
Pm: 0.0000 0.0000 0.0000 [1 per cell]
Dy: 0.5000 0.5000 0.4985 [1 per cell]
Bi: 0.5000 0.5000 0.9986 [1 per cell]
Te: 0.0000 0.0000 0.4998 [1 per cell]



Entry 4:
NaBSbTe2 | PBE-GGA | optimized geometry

Output
**Formation energy (no corrections)**: 1516 meV per atom
**ρ**: 4.2 g/cm3
**Total moment**: 0.000 μB per formula unit

a b c (Å): 5.5431 5.5431 5.3029
angles (deg): 90.00 90.00 90.00
Space group P4/mmm (No. 123)
Symmetry-distinct sites (fractional):
Na: 0.0000 0.0000 0.0000 [1 per cell]
B: 0.5000 0.5000 0.5000 [1 per cell]
Sb: 0.0000 0.0000 0.5000 [1 per cell]
Te: 0.0000 0.5000 0.0000 [2 per cell]



Entry 5:
CsFe2AgMo | PBE-GGA | optimized geometry

Output
**ΔE_f**: 1.95 eV/atom
**ρ**: 5.8 g/cm3
**Total moment**: 6.994 μB per formula unit

a b c (Å): 4.9947 4.9947 5.1337
angles (deg): 90.00 90.00 90.00
Space group P4/mmm (No. 123)
Symmetry-distinct sites (fractional):
Cs: 0.0000 0.0000 0.0000 [1 per cell]
Fe: 0.0000 0.5000 0.5000 [2 per cell]
Ag: 0.5000 0.5000 0.5000 [1 per cell]
Mo: 0.5000 0.5000 0.0000 [1 per cell]



Entry 6:
Ba2TlHPb | PBE-GGA | optimized geometry

Output
**ρ**: 7.3 g/cm3
**Uncorrected energy**: -3.0394 eV/atom
**Total moment**: 0.000 μB per formula unit

a b c (Å): 5.5679 5.5679 5.0533
angles (deg): 90.00 90.00 90.00
Space group P4/mmm (No. 123)
Symmetry-distinct sites (fractional):
Ba: 0.0000 0.5000 0.0000 [2 per cell]
Tl: 0.0000 0.0000 0.5000 [1 per cell]
H: 0.0000 0.0000 0.0000 [1 per cell]
Pb: 0.5000 0.5000 0.5000 [1 per cell]



Entry 7:
Hf2Pt4Rh3 | PBE-GGA | optimized geometry

Output
**ΔE_f**: -0.79 eV/atom
**ρ**: 16.7 g/cm3
**Total moment**: 0.000 μB per formula unit

a b c (Å): 8.9823 4.0042 8.4611
angles (deg): 90.00 109.11 90.00
Space group C2/m (No. 12)
Symmetry-distinct sites (fractional):
Hf: 0.1645 0.0000 0.2218 [4 per cell]
Pt: 0.0041 0.5000 0.6651 [4 per cell]
Pt: 0.1673 0.0000 0.8917 [4 per cell]
Rh: 0.0000 0.5000 0.0000 [2 per cell]
Rh: 0.1624 0.0000 0.5441 [4 per cell]



Entry 8:
NpFe5B2 | PBE-GGA | optimized geometry

Output
**ΔE_f**: -0.19 eV/atom
**ρ**: 9.9 g/cm3
**Total moment**: 5.349 μB per formula unit

a b c (Å): 3.0963 6.5653 8.8936
angles (deg): 90.00 90.00 90.00
Space group Immm (No. 71)
Symmetry-distinct sites (fractional):
Np: 0.0000 0.0000 0.0000 [2 per cell]
Fe: 0.0000 0.1931 0.3441 [8 per cell]
Fe: 0.0000 0.5000 0.0000 [2 per cell]
B: 0.0000 0.5000 0.2424 [4 per cell]



Entry 9:
CuGeRh2O6 | PBE-GGA | optimized geometry

Output
**Formation energy (no corrections)**: -380 meV per atom
**ρ**: 5.6 g/cm3
**Total moment**: 1.889 μB per formula unit

a b c (Å): 5.1358 5.1358 4.9076
angles (deg): 90.00 90.00 90.00
Space group P4mm (No. 99)
Symmetry-distinct sites (fractional):
Cu: 0.0000 0.0000 0.0000 [1 per cell]
Ge: 0.5000 0.5000 0.0793 [1 per cell]
Rh: 0.0000 0.5000 0.4221 [2 per cell]
O: 0.0000 0.0000 0.6410 [1 per cell]
O: 0.2563 0.2563 0.2395 [4 per cell]
O: 0.5000 0.5000 0.7305 [1 per cell]



Entry 10:
CrRhCl2 | PBE-GGA | optimized geometry

Output
**Formation energy (no corrections)**: 452 meV per atom
**ρ**: 5.1 g/cm3
**Total moment**: 0.000 μB per formula unit

a b c (Å): 5.4175 5.4175 10.1122
angles (deg): 90.00 90.00 90.00
Space group I-42d (No. 122)
Symmetry-distinct sites (fractional):
Cr: 0.0000 0.0000 0.0000 [4 per cell]
Rh: 0.0000 0.0000 0.5000 [4 per cell]
Cl: 0.2197 0.2500 0.1250 [8 per cell]



Entry 11:
TiGa2Ag | PBE-GGA | optimized geometry

Output
**ΔE_f**: 0.06 eV/atom
**ρ**: 6.5 g/cm3
**Total moment**: 0.000 μB per formula unit

a b c (Å): 3.9228 3.9228 16.9032
angles (deg): 90.00 90.00 120.00
Space group R3m (No. 160, hexagonal axes)
Symmetry-distinct sites (fractional):
Ti: 0.0000 0.0000 0.0000 [3 per cell]
Ga: 0.0000 0.0000 0.4091 [3 per cell]
Ga: 0.0000 0.0000 0.5766 [3 per cell]
Ag: 0.0000 0.0000 0.8219 [3 per cell]



Entry 12:
CaTbSn2 | PBE-GGA | optimized geometry

Output
**ΔE_f**: -0.49 eV/atom
**ρ**: 6.2 g/cm3
**Total moment**: 0.000 μB per formula unit

a b c (Å): 3.7348 3.7348 29.1056
angles (deg): 90.00 90.00 120.00
Space group R-3m (No. 166, hexagonal axes)
Symmetry-distinct sites (fractional):
Ca: 0.0000 0.0000 0.0000 [3 per cell]
Tb: 0.0000 0.0000 0.5000 [3 per cell]
Sn: 0.0000 0.0000 0.2493 [6 per cell]



- Which of these has the lowest ρ?
  NaBSbTe2